## CoGeTeO (GGA+U)

Data for a geometry-optimized CoGeTeO structure.

Lattice parameters (Å, degrees): 4.885 4.885 7.216 90.00 90.00 90.00
Positions (direct):
Co1 0.250 0.250 0.152
Co2 0.750 0.750 0.848
Ge1 0.250 0.250 0.657
Ge2 0.750 0.750 0.343
Te1 0.250 0.750 0.000
Te2 0.750 0.250 0.000
O1 0.250 0.250 0.422
O2 0.750 0.750 0.578

Values from the calculation:
E_tot = -37.05 eV/cell